The following is a DFT calculation (PBE) of Ca5Tl2Zn after structural relaxation.

Results
* calculated formation energy: -308 meV per atom

abc: 6.9193 13.0472 5.3795
angles: 90.00 90.00 90.00
Sites, in units of the cell vectors:
Ca (0.0000, 0.0000, 0.0000)
Ca (0.1308, 0.2773, 0.0000)
Ca (0.1639, 0.6057, 0.5000)
Ca (0.3361, 0.1057, 0.5000)
Ca (0.3692, 0.7773, 0.0000)
Ca (0.5000, 0.5000, 0.0000)
Ca (0.6308, 0.2227, 0.0000)
Ca (0.6639, 0.8943, 0.5000)
Ca (0.8361, 0.3943, 0.5000)
Ca (0.8692, 0.7227, 0.0000)
Tl (0.1402, 0.8655, 0.5000)
Tl (0.3598, 0.3655, 0.5000)
Tl (0.6402, 0.6345, 0.5000)
Tl (0.8598, 0.1345, 0.5000)
Zn (0.0000, 0.5000, 0.0000)
Zn (0.5000, 0.0000, 0.0000)